CeTl2Br2O2: optimized geometry, PBE-GGA.

It has space group I4/mmm (No. 139), with a = 4.4643 Å, b = 4.4643 Å, c = 18.1234 Å, α = 90.00°, β = 90.00° and γ = 90.00°. Symmetry generates all atoms from Ce at (0.0000, 0.0000, 0.0000), Tl at (0.0000, 0.0000, 0.3761), Br at (0.0000, 0.0000, 0.1684) and O at (0.0000, 0.5000, 0.0000).

The calculation puts the raw formation energy at -12.321 eV per formula unit. For the total magnetic moment, the calculation gives 0.0 Bohr magnetons per cell.